[1]
# DyZnPt2

A relaxed DyZnPt2 crystal (PBE-GGA, Alexandria via LeMat-Bulk).

Summary:
ΔE_f (eV/atom): -0.90
D(E_F) (states/eV per cell): 1.28

Lattice parameters (Å, degrees): 3.498 3.498 5.915 90.00 90.00 90.00
Space group P4/mmm (No. 123)
One atom of each set of equivalent atoms:
Dy  0.000  0.000  0.000 [1 per cell]
Zn  0.000  0.000  0.500 [1 per cell]
Pt  0.500  0.500  0.271 [2 per cell]

***

[2]
# Dy3ZnPt12

A relaxed Dy3ZnPt12 crystal (PBE-GGA, Alexandria via LeMat-Bulk).

Summary:
ΔE_f (eV/atom): -0.85
D(E_F) (states/eV per cell): 14.43

Lattice parameters (Å, degrees): 4.093 4.093 16.161 90.00 90.00 90.00
Space group P4/mmm (No. 123)
One atom of each set of equivalent atoms:
Dy  0.000  0.000  0.000 [1 per cell]
Dy  0.000  0.000  0.256 [2 per cell]
Zn  0.000  0.000  0.500 [1 per cell]
Pt  0.000  0.500  0.128 [4 per cell]
Pt  0.000  0.500  0.386 [4 per cell]
Pt  0.500  0.500  0.000 [1 per cell]
Pt  0.500  0.500  0.257 [2 per cell]
Pt  0.500  0.500  0.500 [1 per cell]

***

[3]
# Dy3Zn2Pt6

A relaxed Dy3Zn2Pt6 crystal (PBE-GGA, Alexandria via LeMat-Bulk).

Summary:
ΔE_f (eV/atom): -0.97
D(E_F) (states/eV per cell): 16.60

Lattice parameters (Å, degrees): 9.531 9.531 9.531 90.00 90.00 90.00
Space group Im-3m (No. 229)
One atom of each set of equivalent atoms:
Dy  0.000  0.000  0.305 [12 per cell]
Zn  0.250  0.250  0.250 [8 per cell]
Pt  0.000  0.328  0.328 [24 per cell]

***

[4]
# Dy2Zn3Pt2

A relaxed Dy2Zn3Pt2 crystal (PBE-GGA, Alexandria via LeMat-Bulk).

Summary:
ΔE_f (eV/atom): -0.83
D(E_F) (states/eV per cell): 6.68

Lattice parameters (Å, degrees): 9.754 4.272 6.896 90.00 111.57 90.00
Space group C2/m (No. 12)
One atom of each set of equivalent atoms:
Dy  0.147  0.000  0.269 [4 per cell]
Zn  0.000  0.500  0.500 [2 per cell]
Zn  0.121  0.500  0.939 [4 per cell]
Pt  0.144  0.000  0.701 [4 per cell]

***

[5]
# DyZnPt

A relaxed DyZnPt crystal (PBE-GGA, Alexandria via LeMat-Bulk).

Summary:
ΔE_f (eV/atom): -0.81
D(E_F) (states/eV per cell): 6.46

Lattice parameters (Å, degrees): 6.476 6.476 6.476 90.00 90.00 90.00
Space group F-43m (No. 216)
One atom of each set of equivalent atoms:
Dy  0.000  0.000  0.000 [4 per cell]
Zn  0.000  0.000  0.500 [4 per cell]
Pt  0.250  0.250  0.750 [4 per cell]

***

[6]
# Dy3Zn2Pt

A relaxed Dy3Zn2Pt crystal (PBE-GGA, Alexandria via LeMat-Bulk).

Summary:
ΔE_f (eV/atom): -0.66
D(E_F) (states/eV per cell): 4.48

Lattice parameters (Å, degrees): 3.567 3.567 10.445 90.00 90.00 90.00
Space group P4/mmm (No. 123)
One atom of each set of equivalent atoms:
Dy  0.000  0.000  0.000 [1 per cell]
Dy  0.000  0.000  0.341 [2 per cell]
Zn  0.500  0.500  0.165 [2 per cell]
Pt  0.500  0.500  0.500 [1 per cell]

***

[7]
# Dy3ZnPt3

A relaxed Dy3ZnPt3 crystal (PBE-GGA, Alexandria via LeMat-Bulk).

Summary:
ΔE_f (eV/atom): -1.11
D(E_F) (states/eV per cell): 15.80
Energy above the lowest structure with this stoichiometry (meV/atom): 0

Lattice parameters (Å, degrees): 4.125 10.395 13.974 90.00 90.00 90.00
Space group Cmcm (No. 63)
One atom of each set of equivalent atoms:
Dy  0.000  0.033  0.250 [4 per cell]
Dy  0.000  0.304  0.106 [8 per cell]
Zn  0.000  0.000  0.000 [4 per cell]
Pt  0.000  0.239  0.750 [4 per cell]
Pt  0.000  0.409  0.592 [8 per cell]

***

[8]
# Dy3Zn2Pt3

A relaxed Dy3Zn2Pt3 crystal (PBE-GGA, Alexandria via LeMat-Bulk).

Summary:
ΔE_f (eV/atom): -0.94
D(E_F) (states/eV per cell): 7.08

Lattice parameters (Å, degrees): 8.3004 8.3004 5.6020 90.00 90.00 120.00
Space group P6_3/mcm (No. 193)
One atom of each set of equivalent atoms:
Dy  0.0000  0.2775  0.2500 [6 per cell]
Zn  0.3333  0.6667  0.0000 [4 per cell]
Pt  0.0000  0.3852  0.7500 [6 per cell]

***

- Among the records above, which one has the lowest D(E_F)?
  DyZnPt2